Entry 1:
Density functional theory data (GGA-PBE) for a relaxed structure of Er8NiP3Se4.

a = 7.9602 Å, b = 8.0690 Å, c = 7.9605 Å
α = 119.56°, β = 120.00°, γ = 90.00°
Positions (direct):
Er  0.2401  0.7283  0.4802
Er  0.2518  0.2719  0.0119
Er  0.7426  0.7279  0.4852
Er  0.2400  0.7281  0.9881
Er  0.7600  0.2719  0.0119
Er  0.7599  0.2717  0.5198
Er  0.2574  0.2721  0.5148
Er  0.7482  0.7281  0.9881
P  0.5000  0.5000  0.5000
P  0.5000  0.5000  0.0000
P  0.0000  0.5000  0.5000
Ni  0.0000  0.5000  0.0000
Se  0.5000  0.0000  0.5000
Se  0.5000  0.0000  0.0000
Se  0.0000  0.0000  0.0000
Se  0.0000  0.0000  0.5000

## Properties
SG ... No. 166
E_form (uncorrected) ... -1.55 eV/atom

Entry 2:
Density functional theory data (GGA-PBE) for a relaxed structure of Er4NiPSe2.

a = 3.9349 Å, b = 6.9165 Å, c = 7.0504 Å
α = 108.74°, β = 90.00°, γ = 90.00°
Positions (direct):
Er  0.0000  0.7359  0.2254
Er  0.5000  0.2453  0.2301
Er  0.5000  0.7547  0.7699
Er  0.0000  0.2641  0.7746
P  0.0000  0.0000  0.0000
Se  0.0000  0.5000  0.5000
Se  0.5000  0.0000  0.5000
Ni  0.5000  0.5000  0.0000

## Properties
SG ... No. 10
E_form (uncorrected) ... -1.35 eV/atom

Entry 3:
Density functional theory data (GGA-PBE) for a relaxed structure of SrErNi2P2.

a = 3.9171 Å, b = 3.9171 Å, c = 8.2539 Å
α = 90.00°, β = 90.00°, γ = 120.00°
Positions (direct):
Ni  0.6667  0.3333  0.2744
Ni  0.3333  0.6667  0.7256
Sr  0.0000  0.0000  0.0000
P  0.3333  0.6667  0.2725
P  0.6667  0.3333  0.7275
Er  0.0000  0.0000  0.5000

## Properties
SG ... No. 164
Energy of formation ... -1.05 eV/atom

For reference, DFT total energy by record: -6.08; -5.90; -5.82 eV per atom.
For reference, calculated density by record: 8.2; 8.4; 6.6 g/cm³.